# SnAsW3 | the Alexandria database | PBE | relaxed
data_SnAsW3
_cell_length_a 4.918
_cell_length_b 4.918
_cell_length_c 4.918
_cell_angle_alpha 90.00
_cell_angle_beta 90.00
_cell_angle_gamma 90.00
_symmetry_space_group_name_H-M 'P 1'
_symmetry_Int_Tables_number 1
_symmetry_space_group_name_Hall 'P 1'
loop_
_atom_site_label
_atom_site_type_symbol
_atom_site_fract_x
_atom_site_fract_y
_atom_site_fract_z
_atom_site_occupancy
Sn1 Sn 0.000 0.000 0.000 1
As1 As 0.500 0.500 0.500 1
W1 W 0.000 0.000 0.500 1
W2 W 0.000 0.500 0.000 1
W3 W 0.500 0.000 0.000 1
# - Total DFT energy (no corrections): -6.65 eV per atom
# - Formation enthalpy at 0 K: 14.3 eV per formula unit

---

# PrGdHgPd | the Alexandria database | PBE | relaxed
data_PrGdHgPd
_cell_length_a 7.414
_cell_length_b 7.414
_cell_length_c 7.414
_cell_angle_alpha 90.00
_cell_angle_beta 90.00
_cell_angle_gamma 90.00
_symmetry_space_group_name_H-M 'P 1'
_symmetry_Int_Tables_number 1
_symmetry_space_group_name_Hall 'P 1'
loop_
_atom_site_label
_atom_site_type_symbol
_atom_site_fract_x
_atom_site_fract_y
_atom_site_fract_z
_atom_site_occupancy
Pr1 Pr 0.000 0.000 0.000 1
Pr2 Pr 0.000 0.500 0.500 1
Pr3 Pr 0.500 0.000 0.500 1
Pr4 Pr 0.500 0.500 0.000 1
Gd1 Gd 0.000 0.000 0.500 1
Gd2 Gd 0.000 0.500 0.000 1
Gd3 Gd 0.500 0.000 0.000 1
Gd4 Gd 0.500 0.500 0.500 1
Hg1 Hg 0.250 0.250 0.750 1
Hg2 Hg 0.250 0.750 0.250 1
Hg3 Hg 0.750 0.250 0.250 1
Hg4 Hg 0.750 0.750 0.750 1
Pd1 Pd 0.250 0.250 0.250 1
Pd2 Pd 0.250 0.750 0.750 1
Pd3 Pd 0.750 0.250 0.750 1
Pd4 Pd 0.750 0.750 0.250 1
# - Total DFT energy (no corrections): -6.67 eV per atom
# - Formation enthalpy at 0 K: -2.3 eV per formula unit

---

# ThNi6Pt6 | the Alexandria database | PBE | relaxed
data_ThNi6Pt6
_cell_length_a 6.658
_cell_length_b 6.658
_cell_length_c 6.658
_cell_angle_alpha 135.79
_cell_angle_beta 98.82
_cell_angle_gamma 97.46
_symmetry_space_group_name_H-M 'P 1'
_symmetry_Int_Tables_number 1
_symmetry_space_group_name_Hall 'P 1'
loop_
_atom_site_label
_atom_site_type_symbol
_atom_site_fract_x
_atom_site_fract_y
_atom_site_fract_z
_atom_site_occupancy
Th1 Th 0.000 0.000 0.000 1
Ni1 Ni 0.000 0.000 0.500 1
Ni2 Ni 0.000 0.500 0.000 1
Ni3 Ni 0.234 0.734 0.500 1
Ni4 Ni 0.500 0.000 0.000 1
Ni5 Ni 0.500 0.500 0.500 1
Ni6 Ni 0.766 0.266 0.500 1
Pt1 Pt 0.202 0.500 0.702 1
Pt2 Pt 0.341 0.341 0.000 1
Pt3 Pt 0.344 0.000 0.344 1
Pt4 Pt 0.656 0.000 0.656 1
Pt5 Pt 0.659 0.659 0.000 1
Pt6 Pt 0.798 0.500 0.298 1
# - Total DFT energy (no corrections): -6.40 eV per atom
# - Formation enthalpy at 0 K: -4.8 eV per formula unit

---

Number 1: total magnetic moment 0.000 μB per atom, V 23.789 Å³/atom. Number 2: total magnetic moment 1.815 μB per atom, V 25.471 Å³/atom. Number 3: total magnetic moment 0.355 μB per atom, V 14.662 Å³/atom.